# Y2MnAg PBE optimized geometry
data_Y2MnAg
_chemical_formula_sum 'Y2 Mn1 Ag1'
_symmetry_space_group_name_H-M 'P 4/m m m'
_symmetry_Int_Tables_number 123
_symmetry_space_group_name_Hall '-P 4 2'
_cell_length_a 5.1209
_cell_length_b 5.1209
_cell_length_c 3.5897
_cell_angle_alpha 90.00
_cell_angle_beta 90.00
_cell_angle_gamma 90.00
loop_
_atom_site_label
_atom_site_type_symbol
_atom_site_fract_x
_atom_site_fract_y
_atom_site_fract_z
_atom_site_occupancy
Y1 Y 0.0000 0.5000 0.0000 1
Mn1 Mn 0.0000 0.0000 0.5000 1
Ag1 Ag 0.5000 0.5000 0.5000 1
# - Crystal system: tetragonal
# - Total energy: -0.2303 hartree per atom
# - Spin magnetization: 3.6 μB per formula unit